No. 1
Below is a geometry-optimized Hf2PPt2 structure, with properties calculated at the PBE-GGA level.

Calculated values
Total magnetic moment, μB/f.u.: 0.000
Electronic total energy, eV/atom: -8.2458

```
10
Lattice="7.123 0.000 0.000 0.000 7.123 0.000 0.000 0.000 3.618" Properties=species:S:1:pos:R:3 pbc="T T T"
Hf 1.201 2.360 0.000
Hf 2.360 5.922 0.000
Hf 4.763 1.201 0.000
Hf 5.922 4.763 0.000
P 0.000 0.000 1.809
P 3.562 3.562 1.809
Pt 0.953 4.515 1.809
Pt 2.608 0.953 1.809
Pt 4.515 6.170 1.809
Pt 6.170 2.608 1.809
```

***

No. 2
Below is a geometry-optimized Si23P structure, with properties calculated at the PBE-GGA level.

Calculated values
Total magnetic moment, μB/f.u.: 0.005
Formation energy without anion corrections, eV/atom: 0.17
Electronic total energy, eV/atom: -5.2559

```
48
Lattice="10.201 0.000 0.000 0.000 10.201 0.000 0.000 0.000 10.201" Properties=species:S:1:pos:R:3 pbc="T T T"
Si 0.000 1.190 3.147
Si 0.000 1.190 7.054
Si 0.000 2.550 5.101
Si 0.000 7.651 5.101
Si 0.000 9.012 3.147
Si 0.000 9.012 7.054
Si 1.190 3.147 0.000
Si 1.190 7.054 0.000
Si 1.858 1.858 1.858
Si 1.858 1.858 8.343
Si 1.858 8.343 1.858
Si 1.858 8.343 8.343
Si 1.953 3.911 5.101
Si 1.953 6.290 5.101
Si 2.550 5.101 0.000
Si 3.147 0.000 1.190
Si 3.147 0.000 9.012
Si 3.242 3.242 3.242
Si 3.242 3.242 6.959
Si 3.242 6.959 3.242
Si 3.242 6.959 6.959
Si 3.911 5.101 1.953
Si 3.911 5.101 8.248
Si 5.101 0.000 2.550
Si 5.101 0.000 7.651
Si 5.101 1.953 3.911
Si 5.101 1.953 6.290
Si 5.101 8.248 3.911
Si 5.101 8.248 6.290
Si 6.290 5.101 1.953
Si 6.290 5.101 8.248
Si 6.959 3.242 3.242
Si 6.959 3.242 6.959
Si 6.959 6.959 3.242
Si 6.959 6.959 6.959
Si 7.054 0.000 1.190
Si 7.054 0.000 9.012
Si 7.651 5.101 0.000
Si 8.248 3.911 5.101
Si 8.248 6.290 5.101
Si 8.343 1.858 1.858
Si 8.343 1.858 8.343
Si 8.343 8.343 1.858
Si 8.343 8.343 8.343
Si 9.012 3.147 0.000
Si 9.012 7.054 0.000
P 0.000 0.000 0.000
P 5.101 5.101 5.101
```

***

No. 3
Below is a geometry-optimized Sr3InPb3 structure, with properties calculated at the PBE-GGA level.

Calculated values
Total magnetic moment, μB/f.u.: 0.000
Electronic total energy, eV/atom: -3.1866

```
14
Lattice="6.277 -2.557 0.000 6.277 2.557 0.000 -5.069 0.000 15.360" Properties=species:S:1:pos:R:3 pbc="T T T"
Sr -1.681 0.000 5.826
Sr -3.380 0.000 14.191
Sr 1.675 0.000 3.465
Sr 5.809 0.000 11.895
Sr 10.864 0.000 1.170
Sr 9.165 0.000 9.534
In 0.446 0.000 9.404
In 7.038 0.000 5.957
Pb 2.250 0.000 6.864
Pb 0.142 0.000 14.205
Pb 2.297 0.000 11.888
Pb 5.187 0.000 3.472
Pb 7.342 0.000 1.156
Pb 5.234 0.000 8.496
```

***

No. 4
Below is a geometry-optimized Sr2ZnCdCl structure, with properties calculated at the PBE-GGA level.

Calculated values
Total magnetic moment, μB/f.u.: 0.000
Formation energy without anion corrections, eV/atom: -0.36
Electronic total energy, eV/atom: -1.8432

```
5
Lattice="5.684 0.000 0.000 0.000 5.684 0.000 0.000 0.000 5.623" Properties=species:S:1:pos:R:3 pbc="T T T"
Sr 0.000 2.842 0.000
Sr 2.842 0.000 0.000
Zn 0.000 0.000 2.811
Cd 2.842 2.842 2.811
Cl 2.842 2.842 0.000
```

***

No. 5
Below is a geometry-optimized Th2Tl3Te6Pd structure, with properties calculated at the PBE-GGA level.

Calculated values
Total magnetic moment, μB/f.u.: 0.002
Formation energy without anion corrections, eV/atom: -0.69
Electronic total energy, eV/atom: -4.5179

```
12
Lattice="3.783 -6.649 0.000 3.783 6.649 0.000 -2.521 0.000 8.267" Properties=species:S:1:pos:R:3 pbc="T T T"
Th 3.783 4.461 0.000
Th 3.783 -4.461 0.000
Tl -1.261 0.000 4.134
Tl 2.522 2.375 4.134
Tl 2.522 -2.375 4.134
Te 0.073 2.128 6.521
Te 1.420 0.000 1.763
Te 0.073 -2.128 6.521
Te 4.971 2.128 1.747
Te 3.624 0.000 6.504
Te 4.971 -2.128 1.747
Pd 3.783 0.000 0.000
```

***

No. 6
Below is a geometry-optimized V3CrP structure, with properties calculated at the PBE-GGA level.

Calculated values
Total magnetic moment, μB/f.u.: 0.000
Energy above the most stable polymorph in this dataset, meV/atom: 0
Electronic total energy, eV/atom: -8.5772

```
20
Lattice="4.599 -2.841 0.000 4.599 2.841 0.000 -2.850 0.000 10.405" Properties=species:S:1:pos:R:3 pbc="T T T"
V -0.885 0.221 8.384
V 1.564 1.883 9.708
V 0.813 0.667 6.175
V 0.540 -0.221 3.182
V 3.359 1.883 5.899
V 2.239 -0.667 0.973
V 4.110 0.667 9.432
V 2.989 -1.883 4.505
V 5.808 0.221 7.223
V 5.535 -0.667 4.230
V 4.784 -1.883 0.697
V 7.233 -0.221 2.020
Cr 3.040 0.930 3.798
Cr 4.733 0.930 1.405
Cr 1.615 -0.930 9.000
Cr 3.308 -0.930 6.607
P 2.300 1.420 0.000
P 2.462 0.955 7.803
P 0.874 -1.420 5.202
P 3.887 -0.955 2.601
```